*P*
Below is crystalline Tb6Sm8Ho at its relaxed geometry, with properties calculated at the GGA-PBE level.

```
Tb6Sm8Ho
1.0
9.1205 0.0000 0.0000
4.5603 7.8986 0.0000
4.5603 2.6329 6.9305
Sm Tb Ho
8 6 1
Cartesian
12.0220 6.7880 2.9158
9.2530 8.5396 4.0148
6.3515 7.0174 2.9158
9.1205 5.2657 1.8546
6.2190 3.7435 4.0148
9.1205 5.2657 5.0759
8.9881 1.9918 2.9158
11.8896 3.5141 4.0148
12.3189 9.4268 6.1004
5.2028 4.5764 0.8302
5.9221 1.1046 0.8302
15.6852 8.3139 6.1004
2.5558 2.2176 0.8302
13.0382 5.9550 6.1004
0.0000 0.0000 0.0000
```

Its space group is R-3. Its volume is 499.27 Å³/cell. Its magnetic moment is 0.000 μB/atom.

=====

*Q*
Below is crystalline Tb6Sm8Ho at its relaxed geometry, with properties calculated at the GGA-PBE level.

```
Tb6Sm8Ho
1.0
-0.5693 -4.8399 4.3707
-6.3545 -4.2291 -5.5107
9.1511 -1.9748 -0.9949
Sm Tb Ho
8 6 1
Cartesian
-1.2543 -4.0589 -3.4806
-4.5585 -4.0418 -3.4386
0.3951 -2.4958 -1.0814
1.8323 -8.5481 -1.0535
1.9058 -4.7332 3.1804
6.7859 -7.0020 1.3037
3.4817 -6.9850 1.3457
0.3215 -6.3106 -5.3154
5.9292 -4.9027 -1.3320
-1.0028 -8.1575 -2.6841
-3.7018 -6.1412 -0.8029
3.2302 -2.8864 0.5492
2.2093 -5.3135 -2.2714
0.0181 -5.7304 0.1365
-0.2846 -2.4200 2.1854
```

Its space group is P-3. Its volume is 502.47 Å³/cell. Its magnetic moment is 0.000 μB/atom.

=====

Which of them is the least stable? Correct choice: *Q*.

=====

*P*
Below is crystalline Tb3Sm6Ho2 at its relaxed geometry, with properties calculated at the GGA-PBE level.

```
Tb3Sm6Ho2
1.0
-1.1090 -4.1197 2.1217
4.5219 -1.4390 -0.4306
1.8521 9.4998 14.0637
Tb Sm Ho
3 6 2
Cartesian
1.4147 2.6717 5.9271
0.0000 0.0000 0.0000
3.8503 1.2694 9.8276
0.3011 -0.4440 4.6457
2.1452 4.0513 8.9878
3.1166 0.8964 3.3695
3.1198 -0.1103 6.7669
4.9638 4.3850 11.1091
2.1484 3.0447 12.3853
3.2352 6.1098 13.5546
2.0298 -2.1687 2.2002
```

Its space group is I4/mmm. Its volume is 379.98 Å³/cell. Its magnetic moment is 0.000 μB/atom.

=====

*Q*
Below is crystalline Tb3Sm6Ho2 at its relaxed geometry, with properties calculated at the GGA-PBE level.

```
Tb3Sm6Ho2
1.0
-3.3765 -0.0041 -1.2200
-0.8432 -1.8762 -2.9425
-7.9665 -26.2897 16.8552
Ho Sm Tb
2 6 3
Cartesian
-6.9889 -17.5893 8.8374
-5.1974 -10.5808 3.8553
-7.8037 -15.9009 5.8042
-3.4107 -3.5911 -1.1134
-6.0124 -8.8935 0.8229
-6.1738 -19.2765 11.8698
-4.3826 -12.2691 6.8886
-8.7756 -24.5790 13.8061
-9.5850 -22.8696 10.7579
0.0000 0.0000 0.0000
-2.6013 -5.3005 1.9348
```

Its space group is R-3m. Its volume is 359.01 Å³/cell. Its magnetic moment is 0.000 μB/atom.

=====

Which of them is the least stable? Correct choice: *P*.

=====

*P*
Below is crystalline Tb2Sm5Ho2 at its relaxed geometry, with properties calculated at the GGA-PBE level.

```
Tb2Sm5Ho2
1.0
12.8336 0.0000 0.0000
0.0000 6.1817 0.0000
-6.4168 -3.0908 7.5452
Tb Sm Ho
4 10 4
Cartesian
-0.7035 -0.3027 3.7726
7.1203 2.7881 3.7726
0.0000 0.4815 0.0000
6.4168 3.5724 0.0000
4.0258 3.1384 2.1683
8.7123 -0.4789 3.7726
-3.8434 1.0508 6.8212
-2.2955 2.6119 3.7726
-2.5734 -2.0400 6.8212
2.3910 0.0476 2.1683
10.2602 4.1417 0.7241
4.0258 3.1384 5.3769
8.9902 1.0508 0.7240
2.3910 0.0476 5.3769
0.6255 3.1810 2.0403
5.7913 0.0901 5.5049
5.7913 0.0901 2.0403
0.6255 3.1810 5.5049
```

Its space group is Ima2. Its volume is 598.59 Å³/cell. Its magnetic moment is 0.000 μB/atom.

=====

*Q*
Below is crystalline Tb2Sm5Ho2 at its relaxed geometry, with properties calculated at the GGA-PBE level.

```
Tb2Sm5Ho2
1.0
3.5034 -0.0001 0.0000
-1.7517 11.8583 1.2146
0.0000 4.1080 7.6480
Sm Ho Tb
5 2 2
Cartesian
0.0001 3.6178 4.4000
1.7517 9.9050 6.7471
0.0000 6.0613 2.1155
1.7517 12.3484 4.4626
0.0000 0.0000 0.0000
-0.0001 6.9981 5.6330
1.7518 8.9682 3.2296
1.7517 2.9533 1.2577
0.0000 13.0130 7.6049
```

Its space group is C2/m. Its volume is 300.25 Å³/cell. Its magnetic moment is 0.000 μB/atom.

=====

Which of them is the least stable? Correct choice: *P*.

=====

*P*
Below is crystalline Tb2Sm7Ho3 at its relaxed geometry, with properties calculated at the GGA-PBE level.

```
Tb2Sm7Ho3
1.0
-0.8437 -0.2010 3.5168
-4.3353 -3.5790 -1.2447
13.8720 -13.0691 2.5812
Sm Ho Tb
7 3 2
Cartesian
-0.0101 -4.5285 -0.2612
4.1128 -9.7624 0.4288
5.4240 -6.8857 0.9078
0.0000 0.0000 0.0000
1.2705 -2.2490 2.0416
9.5469 -12.1196 1.5977
7.4225 -14.6002 2.8117
-2.5895 -1.8900 1.1361
1.7365 -7.3818 1.8601
6.9566 -9.4674 2.9932
6.0612 -12.2359 0.7548
3.4756 -4.4123 0.5817
```

Its space group is Cmmm. Its volume is 396.60 Å³/cell. Its magnetic moment is 0.000 μB/atom.

=====

*Q*
Below is crystalline Tb2Sm7Ho3 at its relaxed geometry, with properties calculated at the GGA-PBE level.

```
Tb2Sm7Ho3
1.0
3.5461 0.0000 0.0000
0.0000 6.3449 0.8577
0.0000 2.2047 17.8748
Sm Ho Tb
7 3 2
Cartesian
1.7731 2.6294 9.2062
0.0000 3.9091 3.4544
1.7731 5.9203 9.5264
0.0000 0.0000 0.0000
0.0000 4.6405 15.2782
1.7731 7.8254 15.6433
1.7731 0.7243 3.0893
0.0000 1.4641 6.1928
1.7731 3.1725 0.4289
0.0000 7.0855 12.5398
1.7731 4.6102 6.4097
1.7731 3.9395 12.3229
```

Its space group is P2/m. Its volume is 395.48 Å³/cell. Its magnetic moment is 0.000 μB/atom.

=====

Which of them is the least stable? Correct choice: *P*.

=====

*P*
Below is crystalline Tb2Sm6Ho3 at its relaxed geometry, with properties calculated at the GGA-PBE level.

```
Tb2Sm6Ho3
1.0
4.7589 0.0000 0.0000
0.0000 4.7589 0.0000
-2.3795 -2.3795 16.7463
Ho Tb Sm
3 2 6
Cartesian
2.3795 2.3795 10.0901
0.0000 0.0000 6.6562
0.0000 0.0000 0.0000
0.0000 0.0000 15.2264
2.3795 2.3795 1.5199
2.3795 0.0000 12.7035
0.0000 2.3795 12.7035
2.3795 0.0000 4.0428
0.0000 0.0000 10.0895
0.0000 2.3795 4.0428
2.3795 2.3795 6.6568
```

Its space group is I4/mmm. Its volume is 379.26 Å³/cell. Its magnetic moment is 0.000 μB/atom.

=====

*Q*
Below is crystalline Tb2Sm6Ho3 at its relaxed geometry, with properties calculated at the GGA-PBE level.

```
Tb2Sm6Ho3
1.0
-0.8391 1.5505 -3.1246
-2.1270 -1.7033 -2.3337
-26.7392 13.4506 11.7957
Sm Tb Ho
6 2 3
Cartesian
-4.3040 1.1180 -2.4088
-17.0367 7.2247 1.9812
-25.4014 12.1798 8.7461
-19.7576 9.7900 8.1043
-12.6687 6.0731 4.3561
-9.9478 3.5078 -1.7670
-18.3968 8.5071 5.0425
-11.3086 4.7907 1.2948
-24.0646 10.9095 5.6970
0.0000 0.0000 0.0000
-5.6408 2.3883 0.6403
```

Its space group is R-3m. Its volume is 357.88 Å³/cell. Its magnetic moment is 0.000 μB/atom.

=====

Which of them is the least stable? Correct choice: *P*.

=====

*P*
Below is crystalline Tb3SmHo7 at its relaxed geometry, with properties calculated at the GGA-PBE level.

```
Tb3SmHo7
1.0
-1.6176 5.1098 -1.2946
4.1038 -0.9686 -8.9490
-4.9669 -7.2373 1.1114
Ho Sm Tb
7 1 3
Cartesian
-3.2923 -1.0637 -0.0916
-0.2196 1.1162 -7.0670
-1.9720 -4.9247 -5.2413
0.1716 -0.3325 -1.5290
-2.2611 -4.2123 -2.0652
-2.6523 -2.7635 -7.6032
-0.5087 1.8286 -3.8909
-1.2404 -1.5480 -4.5661
2.0519 -0.4843 -4.4745
-2.2550 2.0845 -0.7075
-0.2257 -5.1805 -8.4247
```

Its space group is P2/m. Its volume is 355.01 Å³/cell. Its magnetic moment is 0.000 μB/atom.

=====

*Q*
Below is crystalline Tb3SmHo7 at its relaxed geometry, with properties calculated at the GGA-PBE level.

```
Tb3SmHo7
1.0
-1.2866 -8.4809 0.2973
6.8330 -0.9908 1.3088
-4.5068 0.8702 5.3213
Ho Tb Sm
7 3 1
Cartesian
-0.5166 -0.8709 2.0378
2.8990 -1.3864 2.6819
2.1156 -4.0456 4.7585
4.3544 -4.4779 2.1151
0.9601 -3.9858 1.4649
-2.7576 -0.4382 4.6838
0.6401 -0.9308 5.3346
3.5679 -7.2052 4.2001
0.1578 -6.7107 3.5469
2.4070 -7.1450 0.8912
-1.3014 -3.5371 4.1166
```

Its space group is P3m1. Its volume is 367.09 Å³/cell. Its magnetic moment is 0.000 μB/atom.

=====

Which of them is the least stable? Correct choice: *Q*.

=====

*P*
Below is crystalline Tb5Sm2Ho2 at its relaxed geometry, with properties calculated at the GGA-PBE level.

```
Tb5Sm2Ho2
1.0
-1.6797 -2.0629 -2.2767
-3.4916 -4.0377 6.2345
-4.6097 11.0143 -3.8862
Tb Sm Ho
5 2 2
Cartesian
0.0000 0.0000 0.0000
-2.6414 0.0821 1.8744
-3.8950 5.5797 -2.1819
-7.1396 4.8316 -1.8029
-5.8861 -0.6660 2.2535
-7.0731 2.1654 0.5638
-2.7079 2.7483 -0.4923
-5.8408 7.9827 -2.9237
-3.9402 -3.0690 2.9952
```

Its space group is C2/m. Its volume is 306.20 Å³/cell. Its magnetic moment is 0.000 μB/atom.

=====

*Q*
Below is crystalline Tb5Sm2Ho2 at its relaxed geometry, with properties calculated at the GGA-PBE level.

```
Tb5Sm2Ho2
1.0
11.7990 0.0000 0.0000
0.0000 6.7257 0.0000
-5.8995 -3.3629 7.4369
Ho Sm Tb
4 4 10
Cartesian
-0.0028 3.7489 5.5502
5.9023 0.3861 1.8867
5.9023 0.3861 5.5502
-0.0028 3.7489 1.8867
0.0000 0.1432 0.0000
5.8995 3.5060 0.0000
5.7998 4.0609 3.7185
0.0997 0.6981 3.7185
8.7787 -0.6644 3.7185
2.7706 -0.7321 2.1293
-2.9576 -1.9753 6.6683
-2.9419 1.3875 6.6683
-2.8792 2.6985 3.7185
3.1289 2.6307 5.3077
3.1289 2.6307 2.1293
2.7706 -0.7321 5.3077
8.8414 4.7504 0.7686
8.8571 1.3875 0.7686
```

Its space group is Ima2. Its volume is 590.17 Å³/cell. Its magnetic moment is 0.000 μB/atom.

=====

Which of them is the least stable? Correct choice: *P*.

=====

*P*
Below is crystalline Tb7SmHo4 at its relaxed geometry, with properties calculated at the GGA-PBE level.

```
Tb7SmHo4
1.0
-1.3554 -2.0168 5.3528
3.4604 -11.0002 -0.0404
4.7366 0.6530 4.6733
Tb Ho Sm
7 4 1
Cartesian
4.8563 -5.7691 5.5119
-0.6777 -1.0084 2.6764
2.3540 -0.9548 3.4642
3.6119 -4.9706 8.7255
3.2298 -7.3934 1.2601
1.9853 -6.5949 4.4738
4.4876 -11.4092 6.5214
2.3113 -3.4238 5.7511
1.6393 -3.8674 2.1859
5.2024 -8.4966 7.7998
4.5303 -8.9401 4.2346
0.0000 0.0000 0.0000
```

Its space group is C2/m. Its volume is 393.64 Å³/cell. Its magnetic moment is 0.000 μB/atom.

=====

*Q*
Below is crystalline Tb7SmHo4 at its relaxed geometry, with properties calculated at the GGA-PBE level.

```
Tb7SmHo4
1.0
6.3548 -1.8554 2.7405
0.7210 5.7495 2.2181
2.7599 -2.2809 10.7904
Ho Tb Sm
4 7 1
Cartesian
2.1362 0.1984 4.5531
5.7583 -1.0026 9.4019
4.0774 2.6158 6.3471
7.6995 1.4147 11.1959
4.7175 0.1269 12.5851
7.2670 1.6814 7.7271
3.1774 -0.9277 1.3703
5.3151 -0.7208 5.9277
5.1182 1.4862 3.1640
4.5206 2.3340 9.8214
2.5687 -0.0682 8.0219
0.0000 0.0000 0.0000
```

Its space group is P-1. Its volume is 381.48 Å³/cell. Its magnetic moment is 0.000 μB/atom.

=====

Which of them is the least stable? Correct choice: *P*.